DFT (GGA-PBE) results for a relaxed UGaPd crystal.

abc: 3.059 3.059 11.720
angles: 90.00 90.00 90.00
Space group I4mm (No. 107)
Unique sites:
U: 0.000 0.000 0.000 x2
Ga: 0.000 0.000 0.312 x2
Pd: 0.000 0.000 0.684 x2

Computed properties:
total magnetic moment = 0.727 μB/atom
calculated volume = 18.28 Å³ per atom
total DFT energy (no corrections) = -6.812 eV/atom
ΔE_f = -0.93 eV/f.u.



DFT (GGA-PBE) results for a relaxed UGa2Pd crystal.

abc: 2.9620 2.9620 27.6732
angles: 90.00 90.00 120.00
Space group R3m (No. 160, hexagonal axes)
Unique sites:
U: 0.0000 0.0000 0.0000 x3
Ga: 0.0000 0.0000 0.5724 x3
Ga: 0.0000 0.0000 0.7597 x3
Pd: 0.0000 0.0000 0.1660 x3

Computed properties:
total magnetic moment = 0.295 μB/atom
calculated volume = 17.52 Å³ per atom
total DFT energy (no corrections) = -5.942 eV/atom
ΔE_f = -1.23 eV/f.u.



DFT (GGA-PBE) results for a relaxed UGa3Pd12 crystal.

abc: 4.004 4.004 15.714
angles: 90.00 90.00 90.00
Space group P4/mmm (No. 123)
Unique sites:
U: 0.000 0.000 0.000 x1
Ga: 0.000 0.000 0.265 x2
Ga: 0.000 0.000 0.500 x1
Pd: 0.000 0.500 0.129 x4
Pd: 0.000 0.500 0.378 x4
Pd: 0.500 0.500 0.000 x1
Pd: 0.500 0.500 0.254 x2
Pd: 0.500 0.500 0.500 x1

Computed properties:
total magnetic moment = 0.053 μB/atom
calculated volume = 15.75 Å³ per atom
total DFT energy (no corrections) = -5.661 eV/atom
ΔE_f = -7.90 eV/f.u.



DFT (GGA-PBE) results for a relaxed U4Ga16Pd3 crystal.

abc: 6.189 6.189 11.173
angles: 90.00 90.00 90.00
Space group P4/mmm (No. 123)
Unique sites:
U: 0.000 0.500 0.188 x4
Ga: 0.000 0.000 0.199 x2
Ga: 0.213 0.213 0.000 x4
Ga: 0.246 0.246 0.374 x8
Ga: 0.500 0.500 0.227 x2
Pd: 0.000 0.500 0.500 x2
Pd: 0.500 0.500 0.000 x1

Computed properties:
total magnetic moment = 0.436 μB/atom
calculated volume = 18.61 Å³ per atom
total DFT energy (no corrections) = -5.104 eV/atom
ΔE_f = -8.22 eV/f.u.